Record 1
Density functional theory data (GGA-PBE) for a relaxed TbThNi2 crystal.

a = 4.873 Å, b = 4.873 Å, c = 3.452 Å
α = 90.00°, β = 90.00°, γ = 90.00°
Space group P4/mmm (No. 123)
Symmetry-distinct sites (fractional):
Tb (0.000, 0.000, 0.000)
Th (0.500, 0.500, 0.000)
Ni (0.000, 0.500, 0.500)

- Calculated volume: 82.0 Å³/cell
- Calculated formation energy: -327 meV per atom
- Crystal system: tetragonal



Record 2
Density functional theory data (GGA-PBE) for a relaxed NaMnV3 crystal.

a = 4.455 Å, b = 4.455 Å, c = 4.455 Å
α = 90.00°, β = 90.00°, γ = 90.00°
Space group Pm-3m (No. 221)
Symmetry-distinct sites (fractional):
Na (0.000, 0.000, 0.000)
Mn (0.500, 0.500, 0.500)
V (0.000, 0.000, 0.500)

- Calculated volume: 88.4 Å³/cell
- Calculated formation energy: 2264 meV per atom
- Crystal system: cubic



Record 3
Density functional theory data (GGA-PBE) for a relaxed Ho3TlCo crystal.

a = 9.993 Å, b = 6.472 Å, c = 8.789 Å
α = 90.00°, β = 116.20°, γ = 90.00°
Space group C2/m (No. 12)
Symmetry-distinct sites (fractional):
Ho (0.025, 0.000, 0.214)
Ho (0.184, 0.500, 0.878)
Ho (0.194, 0.500, 0.304)
Tl (0.000, 0.273, 0.500)
Co (0.000, 0.309, 0.000)

- Calculated volume: 510.0 Å³/cell
- Calculated formation energy: -213 meV per atom
- Crystal system: monoclinic



Record 4
Density functional theory data (GGA-PBE) for a relaxed La7TbPm12 crystal.

a = 11.586 Å, b = 11.586 Å, c = 11.586 Å
α = 90.00°, β = 90.00°, γ = 90.00°
Space group Im-3 (No. 204)
Symmetry-distinct sites (fractional):
La (0.000, 0.000, 0.500)
La (0.250, 0.250, 0.250)
Tb (0.000, 0.000, 0.000)
Pm (0.000, 0.248, 0.247)

- Calculated volume: 1555.3 Å³/cell
- Calculated formation energy: 564 meV per atom
- Crystal system: cubic



Record 5
Density functional theory data (GGA-PBE) for a relaxed TbNdGaHg crystal.

a = 7.466 Å, b = 7.466 Å, c = 7.466 Å
α = 90.00°, β = 90.00°, γ = 90.00°
Space group F-43m (No. 216)
Symmetry-distinct sites (fractional):
Tb (0.000, 0.000, 0.000)
Nd (0.000, 0.000, 0.500)
Ga (0.250, 0.250, 0.250)
Hg (0.250, 0.250, 0.750)

- Calculated volume: 416.1 Å³/cell
- Calculated formation energy: -500 meV per atom
- Crystal system: cubic



Record 6
Density functional theory data (GGA-PBE) for a relaxed Tb5IrRu4 crystal.

a = 3.418 Å, b = 3.418 Å, c = 17.083 Å
α = 90.00°, β = 90.00°, γ = 90.00°
Space group P4/mmm (No. 123)
Symmetry-distinct sites (fractional):
Tb (0.000, 0.000, 0.000)
Tb (0.000, 0.000, 0.199)
Tb (0.000, 0.000, 0.398)
Ir (0.500, 0.500, 0.500)
Ru (0.500, 0.500, 0.100)
Ru (0.500, 0.500, 0.300)

- Calculated volume: 199.6 Å³/cell
- Calculated formation energy: -393 meV per atom
- Crystal system: tetragonal



Record 7
Density functional theory data (GGA-PBE) for a relaxed NaTaSe2O crystal.

a = 5.171 Å, b = 5.171 Å, c = 3.902 Å
α = 90.00°, β = 90.00°, γ = 90.00°
Space group P4/mmm (No. 123)
Symmetry-distinct sites (fractional):
Na (0.000, 0.000, 0.000)
Ta (0.500, 0.500, 0.500)
Se (0.000, 0.500, 0.500)
O (0.500, 0.500, 0.000)

- Electronic total energy: -6.3402 eV/atom
- Calculated volume: 104.3 Å³/cell
- Crystal system: tetragonal



Record 8
Density functional theory data (GGA-PBE) for a relaxed GaCCl3 crystal.

a = 4.840 Å, b = 4.840 Å, c = 4.840 Å
α = 90.00°, β = 90.00°, γ = 90.00°
Space group Pm-3m (No. 221)
Symmetry-distinct sites (fractional):
Ga (0.000, 0.000, 0.000)
C (0.500, 0.500, 0.500)
Cl (0.000, 0.000, 0.500)

- Electronic total energy: -2.6650 eV/atom
- Calculated volume: 113.4 Å³/cell
- Crystal system: cubic



Record 9
Density functional theory data (GGA-PBE) for a relaxed CrRhSe2 crystal.

a = 3.3374 Å, b = 3.3374 Å, c = 23.3837 Å
α = 90.00°, β = 90.00°, γ = 120.00°
Space group R-3m (No. 166, hexagonal axes)
Symmetry-distinct sites (fractional):
Cr (0.0000, 0.0000, 0.0000)
Rh (0.0000, 0.0000, 0.5000)
Se (0.0000, 0.0000, 0.0978)

- Electronic total energy: -5.5936 eV/atom
- Calculated volume: 225.6 Å³/cell
- Crystal system: trigonal



Record 10
Density functional theory data (GGA-PBE) for a relaxed FeIrPb2 crystal.

a = 3.2197 Å, b = 3.2197 Å, c = 30.2534 Å
α = 90.00°, β = 90.00°, γ = 120.00°
Space group R3m (No. 160, hexagonal axes)
Symmetry-distinct sites (fractional):
Fe (0.0000, 0.0000, 0.0000)
Ir (0.0000, 0.0000, 0.7213)
Pb (0.0000, 0.0000, 0.2543)
Pb (0.0000, 0.0000, 0.4664)

- Calculated volume: 271.6 Å³/cell
- Calculated formation energy: 435 meV per atom
- Crystal system: trigonal



Record 11
Density functional theory data (GGA-PBE) for a relaxed Ga2HgI crystal.

a = 4.0458 Å, b = 4.0458 Å, c = 24.2052 Å
α = 90.00°, β = 90.00°, γ = 120.00°
Space group R3m (No. 160, hexagonal axes)
Symmetry-distinct sites (fractional):
Ga (0.0000, 0.0000, 0.0000)
Ga (0.0000, 0.0000, 0.1831)
Hg (0.0000, 0.0000, 0.5914)
I (0.0000, 0.0000, 0.4210)

- Electronic total energy: -1.9835 eV/atom
- Calculated volume: 343.1 Å³/cell
- Crystal system: trigonal



Record 12
Density functional theory data (GGA-PBE) for a relaxed Ac6Bi5N2 crystal.

a = 13.539 Å, b = 14.841 Å, c = 4.556 Å
α = 90.00°, β = 90.00°, γ = 90.00°
Space group Pbam (No. 55)
Symmetry-distinct sites (fractional):
Ac (0.017, 0.136, 0.000)
Ac (0.189, 0.297, 0.500)
Ac (0.201, 0.592, 0.000)
Bi (0.000, 0.500, 0.500)
Bi (0.068, 0.712, 0.500)
Bi (0.147, 0.986, 0.500)
N (0.176, 0.214, 0.000)

- Electronic total energy: -5.6335 eV/atom
- Calculated volume: 915.5 Å³/cell
- Crystal system: orthorhombic



Record 13
Density functional theory data (GGA-PBE) for a relaxed K3Ce3AlO8 crystal.

a = 6.9097 Å, b = 6.9097 Å, c = 18.9446 Å
α = 90.00°, β = 90.00°, γ = 120.00°
Space group R-3m (No. 166, hexagonal axes)
Symmetry-distinct sites (fractional):
K (0.0000, 0.5000, 0.0000)
Ce (0.0000, 0.5000, 0.5000)
Al (0.0000, 0.0000, 0.5000)
O (0.0000, 0.0000, 0.2312)
O (0.0392, 0.5196, 0.2221)

- Electronic total energy: -6.9329 eV/atom
- Calculated volume: 783.3 Å³/cell
- Crystal system: trigonal



Record 14
Density functional theory data (GGA-PBE) for a relaxed Ac2Be3CuSi4 crystal.

a = 4.205 Å, b = 4.205 Å, c = 9.830 Å
α = 90.00°, β = 90.00°, γ = 90.00°
Space group P-4m2 (No. 115)
Symmetry-distinct sites (fractional):
Ac (0.000, 0.500, 0.249)
Be (0.000, 0.000, 0.000)
Be (0.000, 0.500, 0.622)
Cu (0.500, 0.500, 0.000)
Si (0.000, 0.000, 0.500)
Si (0.000, 0.500, 0.871)
Si (0.500, 0.500, 0.500)

- Electronic total energy: -4.8502 eV/atom
- Calculated volume: 173.8 Å³/cell
- Crystal system: tetragonal



Record 15
Density functional theory data (GGA-PBE) for a relaxed SiIrOs2 crystal.

a = 2.775 Å, b = 3.754 Å, c = 5.408 Å
α = 90.00°, β = 90.00°, γ = 90.00°
Space group Pmm2 (No. 25)
Symmetry-distinct sites (fractional):
Si (0.000, 0.000, 0.000)
Ir (0.500, 0.500, 0.211)
Os (0.000, 0.000, 0.509)
Os (0.500, 0.500, 0.721)

- Electronic total energy: -9.1596 eV/atom
- Calculated volume: 56.3 Å³/cell
- Crystal system: orthorhombic



Record 16
Density functional theory data (GGA-PBE) for a relaxed KLaMn2 crystal.

a = 5.285 Å, b = 5.285 Å, c = 19.755 Å
α = 90.00°, β = 90.00°, γ = 90.00°
Space group I4_1/amd (No. 141, origin choice 2)
Symmetry-distinct sites (fractional):
K (0.000, 0.250, 0.375)
La (0.000, 0.250, 0.875)
Mn (0.000, 0.000, 0.000)

- Calculated volume: 551.8 Å³/cell
- Calculated formation energy: 1025 meV per atom
- Crystal system: tetragonal



Record 17
Density functional theory data (GGA-PBE) for a relaxed CsPuGaO6 crystal.

a = 5.3362 Å, b = 5.3362 Å, c = 6.8435 Å
α = 90.00°, β = 90.00°, γ = 120.00°
Space group P312 (No. 149)
Symmetry-distinct sites (fractional):
Cs (0.0000, 0.0000, 0.0000)
Pu (0.3333, 0.6667, 0.5000)
Ga (0.6667, 0.3333, 0.5000)
O (0.0041, 0.3871, 0.6645)

- Electronic total energy: -7.1760 eV/atom
- Calculated volume: 168.8 Å³/cell
- Crystal system: trigonal



Record 18
Density functional theory data (GGA-PBE) for a relaxed FeP2Se crystal.

a = 2.779 Å, b = 3.284 Å, c = 16.001 Å
α = 90.00°, β = 90.00°, γ = 90.00°
Space group Imm2 (No. 44)
Symmetry-distinct sites (fractional):
Fe (0.000, 0.000, 0.000)
P (0.000, 0.000, 0.300)
P (0.000, 0.500, 0.395)
Se (0.000, 0.500, 0.100)

- Electronic total energy: -5.6599 eV/atom
- Calculated volume: 146.0 Å³/cell
- Crystal system: orthorhombic



Record 19
Density functional theory data (GGA-PBE) for a relaxed Ce3NdC8 crystal.

a = 9.790 Å, b = 9.797 Å, c = 8.130 Å
α = 90.00°, β = 90.00°, γ = 90.00°
Space group Fmm2 (No. 42)
Symmetry-distinct sites (fractional):
Ce (0.000, 0.000, 0.000)
Ce (0.250, 0.250, 0.251)
Nd (0.000, 0.000, 0.500)
C (0.000, 0.166, 0.753)
C (0.000, 0.245, 0.132)
C (0.166, 0.000, 0.247)
C (0.245, 0.000, 0.868)

- Calculated volume: 779.8 Å³/cell
- Calculated formation energy: 126 meV per atom
- Crystal system: orthorhombic



Record 20
Density functional theory data (GGA-PBE) for a relaxed Pm5Nd3Tm4 crystal.

a = 9.718 Å, b = 5.857 Å, c = 15.112 Å
α = 90.00°, β = 108.70°, γ = 90.00°
Space group C2/m (No. 12)
Symmetry-distinct sites (fractional):
Pm (0.000, 0.000, 0.000)
Pm (0.169, 0.000, 0.500)
Pm (0.206, 0.500, 0.251)
Nd (0.000, 0.500, 0.000)
Nd (0.046, 0.000, 0.251)
Tm (0.061, 0.500, 0.622)
Tm (0.175, 0.500, 0.851)

- Calculated volume: 814.8 Å³/cell
- Calculated formation energy: 221 meV per atom
- Crystal system: monoclinic



Record 21
Density functional theory data (GGA-PBE) for a relaxed Er2Ga12Rh crystal.

a = 6.033 Å, b = 6.033 Å, c = 15.538 Å
α = 90.00°, β = 90.00°, γ = 90.00°
Space group P4/nbm (No. 125, origin choice 2)
Symmetry-distinct sites (fractional):
Er (0.250, 0.750, 0.240)
Ga (0.000, 0.000, 0.089)
Ga (0.084, 0.584, 0.431)
Ga (0.250, 0.250, 0.191)
Ga (0.250, 0.250, 0.347)
Rh (0.250, 0.750, 0.000)

- Calculated volume: 565.5 Å³/cell
- Calculated formation energy: -381 meV per atom
- Crystal system: tetragonal



Record 22
Density functional theory data (GGA-PBE) for a relaxed Rb2In2Au crystal.

a = 11.225 Å, b = 11.225 Å, c = 3.267 Å
α = 90.00°, β = 90.00°, γ = 90.00°
Space group P4/mbm (No. 127)
Symmetry-distinct sites (fractional):
Rb (0.204, 0.296, 0.000)
In (0.090, 0.590, 0.500)
Au (0.000, 0.000, 0.000)

- Calculated volume: 411.7 Å³/cell
- Calculated formation energy: 235 meV per atom
- Crystal system: tetragonal



Record 23
Density functional theory data (GGA-PBE) for a relaxed TmSi3Rh crystal.

a = 4.137 Å, b = 4.137 Å, c = 9.803 Å
α = 90.00°, β = 90.00°, γ = 90.00°
Space group I4mm (No. 107)
Symmetry-distinct sites (fractional):
Tm (0.000, 0.000, 0.000)
Si (0.000, 0.000, 0.417)
Si (0.000, 0.500, 0.267)
Rh (0.000, 0.000, 0.653)

- Electronic total energy: -6.3529 eV/atom
- Calculated volume: 167.7 Å³/cell
- Crystal system: tetragonal